VASP calculation (PBE) on a geometry-optimized TmMnCoP2 structure.

Computed properties:
- DOS at the Fermi energy: 0.41 states/eV per atom
- Density: 8335 kg/m³
- Energy of formation from the pure elements: -96 kJ per mole of atoms
- Calculated total energy: -73.1 eV per cell

The structure in CIF format:
```
data_TmMnCoP2
_cell_length_a 3.819
_cell_length_b 3.819
_cell_length_c 9.416
_cell_angle_alpha 90.00
_cell_angle_beta 90.00
_cell_angle_gamma 90.00
_space_group_name_H-M_alt 'I -4 m 2'
_space_group_IT_number 119
_space_group_name_Hall 'I -4 -2'
loop_
_atom_site_label
_atom_site_fract_x
_atom_site_fract_y
_atom_site_fract_z
_atom_site_occupancy
Tm1 0.000 0.000 0.000 1
Mn1 0.000 0.500 0.750 1
Co1 0.000 0.500 0.250 1
P1 0.000 0.000 0.370 1
```


VASP calculation (PBE) on a geometry-optimized UMnCoP2 structure.

Computed properties:
- DOS at the Fermi energy: 1.48 states/eV per atom
- Density: 9975 kg/m³
- Energy of formation from the pure elements: -75 kJ per mole of atoms
- Calculated total energy: -84.6 eV per cell

The structure in CIF format:
```
data_UMnCoP2
_cell_length_a 3.802
_cell_length_b 3.802
_cell_length_c 9.531
_cell_angle_alpha 90.00
_cell_angle_beta 90.00
_cell_angle_gamma 90.00
_space_group_name_H-M_alt 'I -4 m 2'
_space_group_IT_number 119
_space_group_name_Hall 'I -4 -2'
loop_
_atom_site_label
_atom_site_fract_x
_atom_site_fract_y
_atom_site_fract_z
_atom_site_occupancy
U1 0.000 0.000 0.000 1
Mn1 0.000 0.500 0.250 1
Co1 0.000 0.500 0.750 1
P1 0.000 0.000 0.374 1
```


VASP calculation (PBE) on a geometry-optimized U2MnCo4P3 structure.

Computed properties:
- DOS at the Fermi energy: 0.99 states/eV per atom
- Density: 10350 kg/m³
- Energy of formation from the pure elements: -65 kJ per mole of atoms
- Calculated total energy: -83.2 eV per cell

The structure in CIF format:
```
data_U2MnCo4P3
_cell_length_a 3.810
_cell_length_b 3.810
_cell_length_c 9.502
_cell_angle_alpha 90.00
_cell_angle_beta 90.00
_cell_angle_gamma 90.00
_space_group_name_H-M_alt 'P -4 m 2'
_space_group_IT_number 115
loop_
_space_group_symop_operation_xyz
'x,y,z'
'y,-x,-z'
'-x,-y,z'
'-y,x,-z'
'-x,y,z'
'-y,-x,-z'
'x,-y,z'
'y,x,-z'
loop_
_atom_site_label
_atom_site_fract_x
_atom_site_fract_y
_atom_site_fract_z
_atom_site_occupancy
U1 0.000 0.500 0.249 1
Mn1 0.000 0.000 0.500 1
Co1 0.000 0.000 0.000 1
Co2 0.000 0.500 0.638 1
Co3 0.500 0.500 0.000 1
P1 0.000 0.500 0.870 1
P2 0.500 0.500 0.500 1
```


VASP calculation (PBE) on a geometry-optimized U2MnCo3P4 structure.

Computed properties:
- DOS at the Fermi energy: 1.35 states/eV per atom
- Density: 10014 kg/m³
- Energy of formation from the pure elements: -79 kJ per mole of atoms
- Calculated total energy: -82.9 eV per cell

The structure in CIF format:
```
data_U2MnCo3P4
_cell_length_a 3.935
_cell_length_b 3.935
_cell_length_c 8.907
_cell_angle_alpha 90.00
_cell_angle_beta 90.00
_cell_angle_gamma 90.00
_space_group_name_H-M_alt 'P -4 m 2'
_space_group_IT_number 115
loop_
_space_group_symop_operation_xyz
'x,y,z'
'y,-x,-z'
'-x,-y,z'
'-y,x,-z'
'-x,y,z'
'-y,-x,-z'
'x,-y,z'
'y,x,-z'
loop_
_atom_site_label
_atom_site_fract_x
_atom_site_fract_y
_atom_site_fract_z
_atom_site_occupancy
U1 0.000 0.500 0.249 1
Mn1 0.000 0.000 0.500 1
Co1 0.000 0.500 0.887 1
Co2 0.500 0.500 0.500 1
P1 0.000 0.000 0.000 1
P2 0.000 0.500 0.635 1
P3 0.500 0.500 0.000 1
```


VASP calculation (PBE) on a geometry-optimized MnVCoP2 structure.

Computed properties:
- DOS at the Fermi energy: 1.26 states/eV per atom
- Density: 4781 kg/m³
- Energy of formation from the pure elements: 69 kJ per mole of atoms
- Calculated total energy: -32.6 eV per cell

The structure in CIF format:
```
data_MnVCoP2
_cell_length_a 4.203
_cell_length_b 4.203
_cell_length_c 4.459
_cell_angle_alpha 90.00
_cell_angle_beta 90.00
_cell_angle_gamma 90.00
_space_group_name_H-M_alt 'P 4/m m m'
_space_group_IT_number 123
_space_group_name_Hall '-P 4 2'
loop_
_atom_site_label
_atom_site_fract_x
_atom_site_fract_y
_atom_site_fract_z
_atom_site_occupancy
Mn1 0.000 0.000 0.000 1
V1 0.500 0.500 0.000 1
Co1 0.000 0.000 0.500 1
P1 0.000 0.500 0.500 1
```


VASP calculation (PBE) on a geometry-optimized ZrMnCoP2 structure.

Computed properties:
- DOS at the Fermi energy: 0.49 states/eV per atom
- Density: 6799 kg/m³
- Energy of formation from the pure elements: -86 kJ per mole of atoms
- Calculated total energy: -80.2 eV per cell

The structure in CIF format:
```
data_ZrMnCoP2
_cell_length_a 3.736
_cell_length_b 3.736
_cell_length_c 9.344
_cell_angle_alpha 90.00
_cell_angle_beta 90.00
_cell_angle_gamma 90.00
_space_group_name_H-M_alt 'I -4 m 2'
_space_group_IT_number 119
_space_group_name_Hall 'I -4 -2'
loop_
_atom_site_label
_atom_site_fract_x
_atom_site_fract_y
_atom_site_fract_z
_atom_site_occupancy
Zr1 0.000 0.000 0.000 1
Mn1 0.000 0.500 0.750 1
Co1 0.000 0.500 0.250 1
P1 0.000 0.000 0.375 1
```


Question: The highest calculated total energy belongs to which entry?
Answer: MnVCoP2